# 1
VASP calculation (PBE) on a relaxed structure of YGa2Cu.

Geometry as POSCAR:
```
YGa2Cu
1.0
2.072 1.196 5.137
-2.072 1.196 5.137
0.000 -2.392 5.137
Y Ga Cu
1 2 1
Direct
0.000 0.000 0.000
0.215 0.215 0.215
0.785 0.785 0.785
0.500 0.500 0.500
```

Values from the calculation:
E: -4.637 eV/atom
volume: 76.4 Å³/cell

***

# 2
VASP calculation (PBE) on a relaxed structure of Tb2PrErSe4.

Geometry as POSCAR:
```
Tb2PrErSe4
1.0
7.103 0.000 0.000
0.000 4.065 0.000
-2.333 0.000 6.881
Tb Pr Er Se
2 1 1 4
Direct
0.000 0.000 0.000
0.000 0.500 0.500
0.500 0.000 0.500
0.500 0.500 0.000
0.242 0.500 0.238
0.250 0.000 0.759
0.750 0.000 0.241
0.758 0.500 0.762
```

Values from the calculation:
E: -5.829 eV/atom
volume: 198.7 Å³/cell